# Mn2NiAuC | Alexandria via LeMat-Bulk | PBE-GGA | optimized geometry
# DFT total energy in eV/cell: -36.51
# Energy of formation in meV per atom: 23
# Total moment in μB per formula unit: 6.42
data_Mn2NiAuC
_cell_length_a 3.9915
_cell_length_b 3.9915
_cell_length_c 3.8593
_cell_angle_alpha 90.00
_cell_angle_beta 90.00
_cell_angle_gamma 90.00
_symmetry_space_group_name_H-M 'P 4/m m m'
_symmetry_Int_Tables_number 123
_symmetry_space_group_name_Hall '-P 4 2'
loop_
_atom_site_label
_atom_site_type_symbol
_atom_site_fract_x
_atom_site_fract_y
_atom_site_fract_z
Mn1 Mn 0.0000 0.5000 0.0000
Ni1 Ni 0.0000 0.0000 0.5000
Au1 Au 0.5000 0.5000 0.5000
C1 C 0.0000 0.0000 0.0000


# CsK2PtO4 | Alexandria via LeMat-Bulk | PBE-GGA | optimized geometry
# DFT total energy in eV/cell: -71.99
# Total moment in μB per formula unit: 1.01
# Formation energy without anion corrections in eV per formula unit: -7.074
data_CsK2PtO4
_cell_length_a 6.5978
_cell_length_b 6.6285
_cell_length_c 8.4056
_cell_angle_alpha 90.00
_cell_angle_beta 90.00
_cell_angle_gamma 90.00
_symmetry_space_group_name_H-M 'I 2 2 2'
_symmetry_Int_Tables_number 23
_symmetry_space_group_name_Hall 'I 2 2'
loop_
_atom_site_label
_atom_site_type_symbol
_atom_site_fract_x
_atom_site_fract_y
_atom_site_fract_z
Cs1 Cs 0.0000 0.0000 0.0000
K1 K 0.0000 0.5000 0.2495
Pt1 Pt 0.0000 0.0000 0.5000
O1 O 0.1451 0.1471 0.3391


# Pr2ErHg4 | Alexandria via LeMat-Bulk | PBE-GGA | optimized geometry
# DFT total energy in eV/cell: -31.52
# Energy of formation in meV per atom: -61
# Total moment in μB per formula unit: 0.00
data_Pr2ErHg4
_cell_length_a 5.6077
_cell_length_b 5.6077
_cell_length_c 15.7436
_cell_angle_alpha 90.00
_cell_angle_beta 90.00
_cell_angle_gamma 90.00
_symmetry_space_group_name_H-M 'I 4/m m m'
_symmetry_Int_Tables_number 139
_symmetry_space_group_name_Hall '-I 4 2'
loop_
_atom_site_label
_atom_site_type_symbol
_atom_site_fract_x
_atom_site_fract_y
_atom_site_fract_z
Pr1 Pr 0.0000 0.0000 0.1091
Er1 Er 0.0000 0.0000 0.5000
Hg1 Hg 0.0000 0.0000 0.3101
Hg2 Hg 0.0000 0.5000 0.0000


# SiS | Alexandria via LeMat-Bulk | PBE-GGA | optimized geometry
# DFT total energy in eV/cell: -40.27
# Total moment in μB per formula unit: 0.00
# Formation energy without anion corrections in eV per formula unit: -0.517
data_SiS
_cell_length_a 3.9290
_cell_length_b 6.1846
_cell_length_c 7.5052
_cell_angle_alpha 90.00
_cell_angle_beta 90.00
_cell_angle_gamma 90.00
_symmetry_space_group_name_H-M 'I 21 21 21'
_symmetry_Int_Tables_number 24
_symmetry_space_group_name_Hall 'I 2b 2c'
loop_
_atom_site_label
_atom_site_type_symbol
_atom_site_fract_x
_atom_site_fract_y
_atom_site_fract_z
Si1 Si 0.0000 0.2500 0.0920
S1 S 0.2397 0.5000 0.2500


# TlZn2Fe | Alexandria via LeMat-Bulk | PBE-GGA | optimized geometry
# DFT total energy in eV/cell: -23.66
# Energy of formation in meV per atom: 386
# Total moment in μB per formula unit: 2.49
data_TlZn2Fe
_cell_length_a 5.5359
_cell_length_b 9.7970
_cell_length_c 2.9552
_cell_angle_alpha 90.00
_cell_angle_beta 120.11
_cell_angle_gamma 90.00
_symmetry_space_group_name_H-M 'C 1 2/m 1'
_symmetry_Int_Tables_number 12
_symmetry_space_group_name_Hall '-C 2y'
loop_
_atom_site_label
_atom_site_type_symbol
_atom_site_fract_x
_atom_site_fract_y
_atom_site_fract_z
Tl1 Tl 0.0000 0.0000 0.0000
Zn1 Zn 0.2500 0.2500 0.0000
Fe1 Fe 0.0000 0.5000 0.0000


# DyBe4Rh | Alexandria via LeMat-Bulk | PBE-GGA | optimized geometry
# DFT total energy in eV/cell: -115.87
# Energy of formation in meV per atom: -352
# Total moment in μB per formula unit: 0.00
data_DyBe4Rh
_cell_length_a 6.6099
_cell_length_b 6.6099
_cell_length_c 6.6099
_cell_angle_alpha 90.00
_cell_angle_beta 90.00
_cell_angle_gamma 90.00
_symmetry_space_group_name_H-M 'F -4 3 m'
_symmetry_Int_Tables_number 216
_symmetry_space_group_name_Hall 'F -4 2 3'
loop_
_atom_site_label
_atom_site_type_symbol
_atom_site_fract_x
_atom_site_fract_y
_atom_site_fract_z
Dy1 Dy 0.0000 0.0000 0.0000
Be1 Be 0.1214 0.1214 0.3786
Rh1 Rh 0.2500 0.2500 0.7500


# Ac6PmPr8 | Alexandria via LeMat-Bulk | PBE-GGA | optimized geometry
# DFT total energy in eV/cell: -198.14
# Energy of formation in meV per atom: 106
# Total moment in μB per formula unit: 0.00
data_Ac6PmPr8
_cell_length_a 10.3092
_cell_length_b 10.3092
_cell_length_c 19.4263
_cell_angle_alpha 90.00
_cell_angle_beta 90.00
_cell_angle_gamma 120.00
_symmetry_space_group_name_H-M 'R -3'
_symmetry_Int_Tables_number 148
_symmetry_space_group_name_Hall '-R 3'
loop_
_atom_site_label
_atom_site_type_symbol
_atom_site_fract_x
_atom_site_fract_y
_atom_site_fract_z
Ac1 Ac 0.0238 0.2381 0.4081
Pm1 Pm 0.0000 0.0000 0.0000
Pr1 Pr 0.0000 0.0000 0.2300
Pr2 Pr 0.0512 0.2745 0.9029


# HoPu2Cd | Alexandria via LeMat-Bulk | PBE-GGA | optimized geometry
# DFT total energy in eV/cell: -34.00
# Energy of formation in meV per atom: 40
# Total moment in μB per formula unit: 12.49
data_HoPu2Cd
_cell_length_a 4.4822
_cell_length_b 4.4822
_cell_length_c 5.2594
_cell_angle_alpha 90.00
_cell_angle_beta 90.00
_cell_angle_gamma 90.00
_symmetry_space_group_name_H-M 'P 4/m m m'
_symmetry_Int_Tables_number 123
_symmetry_space_group_name_Hall '-P 4 2'
loop_
_atom_site_label
_atom_site_type_symbol
_atom_site_fract_x
_atom_site_fract_y
_atom_site_fract_z
Ho1 Ho 0.0000 0.0000 0.0000
Pu1 Pu 0.0000 0.5000 0.5000
Cd1 Cd 0.5000 0.5000 0.0000


# PmEr2Te4 | Alexandria via LeMat-Bulk | PBE-GGA | optimized geometry
# DFT total energy in eV/cell: -143.81
# Total moment in μB per formula unit: 0.00
# Formation energy without anion corrections in eV per formula unit: -9.509
data_PmEr2Te4
_cell_length_a 4.2692
_cell_length_b 14.2738
_cell_length_c 14.9098
_cell_angle_alpha 90.00
_cell_angle_beta 90.00
_cell_angle_gamma 90.00
_symmetry_space_group_name_H-M 'C m c m'
_symmetry_Int_Tables_number 63
_symmetry_space_group_name_Hall '-C 2c 2'
loop_
_atom_site_label
_atom_site_type_symbol
_atom_site_fract_x
_atom_site_fract_y
_atom_site_fract_z
Pm1 Pm 0.0000 0.1261 0.2500
Er1 Er 0.0000 0.3687 0.0684
Te1 Te 0.0000 0.0000 0.0000
Te2 Te 0.0000 0.2758 0.6197
Te3 Te 0.0000 0.4615 0.2500


# Zr4Hg2C | Alexandria via LeMat-Bulk | PBE-GGA | optimized geometry
# DFT total energy in eV/cell: -92.27
# Energy of formation in meV per atom: -302
# Total moment in μB per formula unit: 0.00
data_Zr4Hg2C
_cell_length_a 7.8554
_cell_length_b 11.1607
_cell_length_c 3.3579
_cell_angle_alpha 90.00
_cell_angle_beta 90.00
_cell_angle_gamma 90.00
_symmetry_space_group_name_H-M 'P b a m'
_symmetry_Int_Tables_number 55
_symmetry_space_group_name_Hall '-P 2 2ab'
loop_
_atom_site_label
_atom_site_type_symbol
_atom_site_fract_x
_atom_site_fract_y
_atom_site_fract_z
Zr1 Zr 0.1310 0.1810 0.0000
Zr2 Zr 0.1766 0.9375 0.5000
Hg1 Hg 0.0542 0.6383 0.5000
C1 C 0.0000 0.0000 0.0000


# Pm3Dy8Y2 | Alexandria via LeMat-Bulk | PBE-GGA | optimized geometry
# DFT total energy in eV/cell: -127.48
# Energy of formation in meV per atom: 20
# Total moment in μB per formula unit: 0.00
data_Pm3Dy8Y2
_cell_length_a 20.7961
_cell_length_b 5.0515
_cell_length_c 7.9994
_cell_angle_alpha 90.00
_cell_angle_beta 94.34
_cell_angle_gamma 90.00
_symmetry_space_group_name_H-M 'C 1 2/m 1'
_symmetry_Int_Tables_number 12
_symmetry_space_group_name_Hall '-C 2y'
loop_
_atom_site_label
_atom_site_type_symbol
_atom_site_fract_x
_atom_site_fract_y
_atom_site_fract_z
Pm1 Pm 0.0000 0.0000 0.0000
Pm2 Pm 0.0390 0.5000 0.3073
Dy1 Dy 0.0778 0.0000 0.6147
Dy2 Dy 0.1161 0.5000 0.9220
Dy3 Dy 0.1549 0.0000 0.2321
Dy4 Dy 0.1926 0.5000 0.5391
Y1 Y 0.2309 0.0000 0.8456


# Re3Os | Alexandria via LeMat-Bulk | PBE-GGA | optimized geometry
# DFT total energy in eV/cell: -140.31
# Energy of formation in meV per atom: 451
# Total moment in μB per formula unit: 0.00
data_Re3Os
_cell_length_a 8.7888
_cell_length_b 8.7888
_cell_length_c 2.6966
_cell_angle_alpha 90.00
_cell_angle_beta 90.00
_cell_angle_gamma 120.00
_symmetry_space_group_name_H-M 'R -3 m'
_symmetry_Int_Tables_number 166
_symmetry_space_group_name_Hall '-R 3 2"'
loop_
_atom_site_label
_atom_site_type_symbol
_atom_site_fract_x
_atom_site_fract_y
_atom_site_fract_z
Re1 Re 0.0000 0.5000 0.0000
Os1 Os 0.0000 0.0000 0.0000